(1)
## Rb2PdI (PBE)

Data for a relaxed structure of Rb2PdI.

Summary:
The raw formation energy is -333 meV/atom. As for the total magnetic moment: 0.20 μB/atom. The calculation puts the total energy at -2.5029 eV per atom. Its energy above the most stable polymorph in this dataset is 0.0 meV/atom.

```
data_Rb2PdI
_chemical_formula_sum 'Rb8 Pd4 I4'
_space_group_name_H-M_alt 'F m -3 m'
_space_group_IT_number 225
_space_group_name_Hall '-F 4 2 3'
_cell_length_a 8.5924
_cell_length_b 8.5924
_cell_length_c 8.5924
_cell_angle_alpha 90.00
_cell_angle_beta 90.00
_cell_angle_gamma 90.00
loop_
_atom_site_label
_atom_site_type_symbol
_atom_site_fract_x
_atom_site_fract_y
_atom_site_fract_z
Rb1 Rb 0.2500 0.2500 0.2500
Pd1 Pd 0.0000 0.0000 0.0000
I1 I 0.0000 0.0000 0.5000
```



(2)
## Rb3Pd5I12 (PBE)

Data for a relaxed structure of Rb3Pd5I12.

Summary:
The raw formation energy is -474 meV/atom. As for the total magnetic moment: 0.00 μB/atom. The calculation puts the total energy at -2.8478 eV per atom.

```
data_Rb3Pd5I12
_chemical_formula_sum 'Rb24 Pd40 I96'
_space_group_name_H-M_alt 'I a -3 d'
_space_group_IT_number 230
_space_group_name_Hall '-I 4bd 2c 3'
_cell_length_a 18.3722
_cell_length_b 18.3722
_cell_length_c 18.3722
_cell_angle_alpha 90.00
_cell_angle_beta 90.00
_cell_angle_gamma 90.00
loop_
_atom_site_label
_atom_site_type_symbol
_atom_site_fract_x
_atom_site_fract_y
_atom_site_fract_z
Rb1 Rb 0.0000 0.2500 0.1250
Pd1 Pd 0.0000 0.0000 0.0000
Pd2 Pd 0.0000 0.2500 0.3750
I1 I 0.0357 0.0443 0.6417
```



(3)
## RbPdI4 (PBE)

Data for a relaxed structure of RbPdI4.

Summary:
The raw formation energy is -555 meV/atom. As for the total magnetic moment: 0.00 μB/atom. The calculation puts the total energy at -2.6151 eV per atom. Its energy above the most stable polymorph in this dataset is 5.1 meV/atom.

```
data_RbPdI4
_chemical_formula_sum 'Rb2 Pd2 I8'
_space_group_name_H-M_alt 'P 1 21/c 1'
_space_group_IT_number 14
_cell_length_a 8.6366
_cell_length_b 7.8716
_cell_length_c 7.1924
_cell_angle_alpha 90.00
_cell_angle_beta 91.87
_cell_angle_gamma 90.00
loop_
_space_group_symop_operation_xyz
'x,y,z'
'-x,-y,-z'
'-x,y+1/2,-z+1/2'
'x,-y+1/2,z+1/2'
loop_
_atom_site_label
_atom_site_type_symbol
_atom_site_fract_x
_atom_site_fract_y
_atom_site_fract_z
Rb1 Rb 0.0000 0.0000 0.0000
Pd1 Pd 0.5000 0.0000 0.5000
I1 I 0.1902 0.0620 0.5018
I2 I 0.4412 0.6897 0.6741
```